Record 1
This record from Alexandria describes K3Co after structural relaxation. The functional is PBE-GGA.

abc: 4.5278 4.5278 12.2789
angles: 90.00 90.00 120.00
Closest atoms and distances in Å follow each position.
Space group P-6m2 (No. 187)
Unique sites:
K (0.0000, 0.0000, 0.0000) (multiplicity 1)  12 K 4.53-4.75
K (0.6667, 0.3333, 0.3227) (multiplicity 2)  3 Co 3.40
Co (0.0000, 0.0000, 0.5000) (multiplicity 1)  6 K 3.40

polymorph energy (0 for the lowest one): 5.81 kJ/mol of atoms
ΔH_f (0 K): 0.791 eV per atom
theoretical density: 1.34 g cm⁻³

---

Record 2
This record from Alexandria describes Pm12Sm2Sc after structural relaxation. The functional is PBE-GGA.

abc: 6.5626 6.5626 25.0219
angles: 90.00 90.00 90.00
Closest atoms and distances in Å follow each position.
Space group P4/nbm (No. 125, origin choice 2)
Unique sites:
Pm (0.0630, 0.5630, 0.1079) (multiplicity 8)  1 Sc 3.21, 7 Pm 3.38-3.51
Pm (0.0826, 0.5826, 0.5630) (multiplicity 8)  5 Pm 3.11-3.46
Pm (0.2500, 0.2500, 0.2103) (multiplicity 4)  1 Pm 3.12
Pm (0.2500, 0.2500, 0.3352) (multiplicity 4)  1 Pm 3.12
Sm (0.2500, 0.7500, 0.2655) (multiplicity 4)  8 Pm 3.56-3.72
Sc (0.2500, 0.7500, 0.0000) (multiplicity 2)  4 Pm 3.21

ΔH_f (0 K): 0.334 eV per atom
theoretical density: 6.43 g cm⁻³